1.
Compound: DySc3
Source: Alexandria via LeMat-Bulk
Functional: PBE
Structure: relaxed

Summary:
N(E_F): 7.54 states/eV/f.u.
space group: Pm-3m (221)
energy relative to the lowest polymorph listed for this composition: 13 kJ/mol of formula units
V: 104.5 Å³/f.u.
energy: -5.84 eV/atom
total magnetic moment: 0.00 μB/f.u.

Unit cell a=4.710 b=4.710 c=4.710 alpha=90.00 beta=90.00 gamma=90.00
Positions (direct):
Sc 0.500 0.500 0.000
Sc 0.500 0.000 0.500
Sc 0.000 0.500 0.500
Dy 0.000 0.000 0.000

2.
Compound: Ba4CaSe5
Source: Alexandria via LeMat-Bulk
Functional: PBE
Structure: relaxed

Summary:
N(E_F): 0.00 states/eV/f.u.
space group: R-3m (166)
V: 350.5 Å³/f.u.
energy: -4.73 eV/atom
ΔE_f (raw): -2021 meV per atom
total magnetic moment: 0.00 μB/f.u.

Unit cell a=4.626 b=4.626 c=19.100 alpha=83.04 beta=83.04 gamma=60.00
Positions (direct):
Ba 0.104 0.104 0.688
Se 0.403 0.403 0.792
Ca 0.500 0.500 0.500
Se 0.597 0.597 0.208
Se 0.195 0.195 0.416
Ba 0.299 0.299 0.104
Ba 0.896 0.896 0.312
Ba 0.701 0.701 0.896
Se 0.805 0.805 0.584
Se 0.000 0.000 0.000

3.
Compound: LiCd2Ni
Source: Alexandria via LeMat-Bulk
Functional: PBE
Structure: relaxed

Summary:
N(E_F): 1.58 states/eV/f.u.
space group: C2/m (12)
energy relative to the lowest polymorph listed for this composition: 54 kJ/mol of formula units
V: 68.7 Å³/f.u.
energy: -2.38 eV/atom
total magnetic moment: 0.00 μB/f.u.

Unit cell a=4.730 b=4.730 c=5.296 alpha=81.00 beta=81.00 gamma=35.97
Positions (direct):
Li 0.250 0.250 0.250
Ni 0.750 0.750 0.750
Cd 0.488 0.488 0.510
Cd 0.012 0.012 0.990

4.
Compound: IrRhW
Source: Alexandria via LeMat-Bulk
Functional: PBE
Structure: relaxed

Summary:
N(E_F): 2.21 states/eV/f.u.
space group: I4mm (107)
energy relative to the lowest polymorph listed for this composition: 22 kJ/mol of formula units
V: 44.8 Å³/f.u.
energy: -9.91 eV/atom
total magnetic moment: 0.00 μB/f.u.

Unit cell a=6.108 b=6.108 c=6.108 alpha=153.64 beta=153.64 gamma=37.62
Positions (direct):
Ir 0.005 0.005 0.000
W 0.666 0.666 0.000
Rh 0.329 0.329 0.000

5.
Compound: Zr2MnCo3
Source: Alexandria via LeMat-Bulk
Functional: PBE
Structure: relaxed

Summary:
N(E_F): 7.37 states/eV/f.u.
space group: R-3m (166)
V: 84.9 Å³/f.u.
energy: -8.23 eV/atom
total magnetic moment: 3.04 μB/f.u.

Unit cell a=5.004 b=5.004 c=4.866 alpha=89.96 beta=120.97 gamma=120.01
Positions (direct):
Co 0.000 0.000 0.500
Zr 0.252 0.626 0.879
Co 0.500 0.500 0.500
Co 0.500 0.000 0.500
Zr 0.748 0.374 0.121
Mn 0.000 0.000 0.000

6.
Compound: TmTlTeSe
Source: Alexandria via LeMat-Bulk
Functional: PBE
Structure: relaxed

Summary:
space group: R3m (160)
V: 127.6 Å³/f.u.
energy: -4.54 eV/atom
ΔE_f (raw): -1178 meV per atom
total magnetic moment: 0.00 μB/f.u.

Unit cell a=4.255 b=4.255 c=8.501 alpha=90.00 beta=104.49 gamma=120.00
Positions (direct):
Te 0.111 0.954 0.080
Tm 0.292 0.544 0.852
Tl 0.967 0.381 0.363
Se 0.508 0.152 0.675

7.
Compound: BaTl2Ru
Source: Alexandria via LeMat-Bulk
Functional: PBE
Structure: relaxed

Summary:
N(E_F): 2.97 states/eV/f.u.
space group: Cm (8)
V: 120.1 Å³/f.u.
energy: -3.83 eV/atom
total magnetic moment: 0.00 μB/f.u.

Unit cell a=4.768 b=4.768 c=6.697 alpha=69.14 beta=69.14 gamma=59.90
Positions (direct):
Ru 0.678 0.678 0.967
Tl 0.041 0.041 0.876
Tl 0.287 0.287 0.140
Ba 0.494 0.494 0.516

8.
Compound: TbY3Tl3
Source: Alexandria via LeMat-Bulk
Functional: PBE
Structure: relaxed

Summary:
N(E_F): 10.09 states/eV/f.u.
space group: P2_13 (198)
energy relative to the lowest polymorph listed for this composition: 0 kJ/mol of formula units
V: 205.0 Å³/f.u.
energy: -4.73 eV/atom
total magnetic moment: 0.00 μB/f.u.

Unit cell a=9.360 b=9.360 c=9.360 alpha=90.00 beta=90.00 gamma=90.00
Positions (direct):
Tb 0.573 0.927 0.073
Tb 0.427 0.427 0.427
Tl 0.250 0.877 0.000
Y 0.073 0.427 0.573
Tl 0.250 0.123 0.500
Tl 0.000 0.250 0.877
Tl 0.123 0.500 0.250
Y 0.678 0.322 0.822
Tl 0.000 0.750 0.623
Y 0.322 0.822 0.678
Tl 0.500 0.750 0.377
Y 0.322 0.178 0.822
Tl 0.623 0.000 0.750
Tb 0.073 0.573 0.927
Y 0.927 0.927 0.927
Tl 0.750 0.623 0.000
Tb 0.927 0.073 0.573
Y 0.178 0.178 0.178
Tl 0.877 0.000 0.250
Y 0.178 0.822 0.322
Y 0.822 0.322 0.178
Y 0.678 0.678 0.678
Tl 0.500 0.250 0.123
Tl 0.377 0.500 0.750
Y 0.573 0.073 0.427
Y 0.822 0.678 0.322
Tl 0.750 0.377 0.500
Y 0.427 0.573 0.073

9.
Compound: Rb2PrTlI6
Source: Alexandria via LeMat-Bulk
Functional: PBE
Structure: relaxed

Summary:
N(E_F): 0.00 states/eV/f.u.
space group: R3 (146)
V: 526.6 Å³/f.u.
energy: -3.14 eV/atom
ΔE_f (raw): -1306 meV per atom
total magnetic moment: 0.00 μB/f.u.

Unit cell a=8.965 b=8.965 c=9.171 alpha=60.72 beta=60.72 gamma=59.97
Positions (direct):
Rb 0.534 0.534 0.398
I 0.567 0.188 0.260
I 0.108 0.448 0.778
I 0.448 0.666 0.777
Rb 0.026 0.026 0.923
Pr 0.322 0.322 0.033
I 0.986 0.567 0.260
I 0.188 0.986 0.259
I 0.666 0.108 0.777
Tl 0.816 0.816 0.551

10.
Compound: VFeTeN2
Source: Alexandria via LeMat-Bulk
Functional: PBE
Structure: relaxed

Summary:
N(E_F): 3.99 states/eV/f.u.
space group: P4/mmm (123)
energy relative to the lowest polymorph listed for this composition: 152 kJ/mol of formula units
V: 74.5 Å³/f.u.
energy: -6.55 eV/atom
ΔE_f (raw): 920 meV per atom
total magnetic moment: 3.15 μB/f.u.

Unit cell a=3.706 b=5.426 c=3.706 alpha=90.00 beta=90.00 gamma=90.00
Positions (direct):
Fe 0.000 0.000 0.000
Te 0.000 0.500 0.000
V 0.500 0.500 0.500
N 0.500 0.000 0.000
N 0.000 0.000 0.500

11.
Compound: Tb5PrY2Er
Source: Alexandria via LeMat-Bulk
Functional: PBE
Structure: relaxed

Summary:
N(E_F): 14.95 states/eV/f.u.
space group: Cmc2_1 (36)
V: 297.4 Å³/f.u.
energy: -4.89 eV/atom
total magnetic moment: 0.00 μB/f.u.

Unit cell a=5.650 b=10.336 c=10.587 alpha=90.00 beta=90.00 gamma=105.86
Positions (direct):
Er 0.201 0.401 0.012
Tb 0.019 0.038 0.024
Tb 0.702 0.404 0.208
Tb 0.613 0.225 0.522
Pr 0.416 0.832 0.454
Y 0.112 0.223 0.733
Tb 0.298 0.596 0.708
Y 0.886 0.772 0.820
Y 0.888 0.777 0.233
Tb 0.981 0.962 0.524
Y 0.114 0.228 0.320
Tb 0.282 0.563 0.313
Tb 0.718 0.437 0.813
Tb 0.479 0.959 0.738
Tb 0.521 0.041 0.238
Pr 0.584 0.168 0.954
Er 0.799 0.599 0.512
Tb 0.387 0.775 0.022

12.
Compound: ThUN2
Source: Alexandria via LeMat-Bulk
Functional: PBE
Structure: relaxed

Summary:
N(E_F): 5.10 states/eV/f.u.
space group: P4/mmm (123)
V: 63.6 Å³/f.u.
energy: -10.21 eV/atom
ΔE_f (raw): -1367 meV per atom
total magnetic moment: 1.18 μB/f.u.

Unit cell a=3.557 b=3.557 c=5.030 alpha=90.00 beta=90.00 gamma=90.00
Positions (direct):
N 0.500 0.500 0.000
U 0.000 0.000 0.000
Th 0.500 0.500 0.500
N 0.000 0.000 0.500

Which formula does entry 3 have? LiCd2Ni

The highest V belongs to which entry? Rb2PrTlI6

Which formula does entry 6 have? TmTlTeSe

What is the formula in the third record? LiCd2Ni